K2CoO2: relaxed, GGA+U.

Computed properties:
The value obtained for the total DFT energy (no corrections) is -0.3416 Ry/atom.

Unit cell a=6.6610 b=9.6109 c=7.0356 alpha=90.00 beta=117.34 gamma=90.00
Space group P2_1/c (No. 14)
Inequivalent atoms, fractional coordinates:
K: 0.2183 0.0842 0.3946 x4
K: 0.2514 0.7380 0.6354 x4
Co: 0.2991 0.0692 0.9048 x4
O: 0.0422 0.1522 0.7306 x4
O: 0.4899 0.0157 0.1923 x4